Entry 1:
VASP calculation (PBE) on a relaxed structure of ErU2S3.

The structure in POSCAR format:
```
ErU2S3
1.0
5.464 0.000 0.000
0.000 11.603 0.000
-0.013 0.000 7.706
Er U S
4 8 12
Direct
0.250 0.083 0.127 Er
0.250 0.417 0.627 Er
0.750 0.583 0.373 Er
0.750 0.917 0.873 Er
0.249 0.083 0.623 U
0.249 0.417 0.123 U
0.251 0.750 0.124 U
0.251 0.750 0.624 U
0.749 0.250 0.376 U
0.749 0.250 0.876 U
0.751 0.583 0.877 U
0.751 0.917 0.377 U
0.249 0.248 0.875 S
0.249 0.252 0.375 S
0.250 0.582 0.376 S
0.250 0.918 0.876 S
0.251 0.583 0.872 S
0.251 0.917 0.372 S
0.749 0.083 0.628 S
0.749 0.417 0.128 S
0.750 0.082 0.124 S
0.750 0.418 0.624 S
0.751 0.748 0.625 S
0.751 0.752 0.125 S
```

As for the magnetic moment: 0.75 μB per atom. Its volume is 20.357 Å³/atom. The value obtained for the formation energy without anion corrections is -1.56 eV/atom.

=====

Entry 2:
VASP calculation (PBE) on a relaxed structure of Er2US3.

The structure in POSCAR format:
```
Er2US3
1.0
3.332 -5.777 0.000
3.332 5.777 0.000
-2.226 0.000 6.379
Er U S
4 2 6
Direct
0.000 0.000 0.000 Er
0.166 0.834 0.500 Er
0.500 0.500 0.500 Er
0.834 0.166 0.500 Er
0.334 0.666 0.000 U
0.666 0.334 0.000 U
0.085 0.416 0.254 S
0.248 0.248 0.747 S
0.416 0.085 0.254 S
0.584 0.915 0.746 S
0.752 0.752 0.253 S
0.915 0.584 0.746 S
```

As for the magnetic moment: 0.45 μB per atom. Its volume is 20.467 Å³/atom. The value obtained for the formation energy without anion corrections is -1.74 eV/atom.

=====

Entry 3:
VASP calculation (PBE) on a relaxed structure of Er3US6.

The structure in POSCAR format:
```
Er3US6
1.0
10.987 0.000 0.000
0.000 3.902 0.000
-3.566 0.000 10.624
Er U S
6 2 12
Direct
0.067 0.250 0.167 Er
0.179 0.750 0.502 Er
0.340 0.250 0.917 Er
0.660 0.750 0.083 Er
0.821 0.250 0.498 Er
0.933 0.750 0.833 Er
0.453 0.250 0.307 U
0.547 0.750 0.693 U
0.021 0.250 0.386 S
0.104 0.250 0.937 S
0.243 0.750 0.275 S
0.307 0.750 0.749 S
0.386 0.250 0.537 S
0.418 0.750 0.098 S
0.582 0.250 0.902 S
0.614 0.750 0.463 S
0.693 0.250 0.251 S
0.757 0.250 0.725 S
0.896 0.750 0.063 S
0.979 0.750 0.614 S
```

As for the magnetic moment: 0.28 μB per atom. Its volume is 22.773 Å³/atom. The value obtained for the formation energy without anion corrections is -1.90 eV/atom.

=====

Entry 4:
VASP calculation (PBE) on a relaxed structure of Er2U2S7.

The structure in POSCAR format:
```
Er2U2S7
1.0
-1.939 6.943 4.267
1.939 -6.943 4.267
1.939 6.943 -4.267
Er U S
2 2 7
Direct
0.000 0.000 0.000 Er
0.535 0.035 0.500 Er
0.481 0.240 0.242 U
0.998 0.240 0.758 U
0.186 0.546 0.640 S
0.252 0.937 0.315 S
0.315 0.315 0.000 S
0.610 0.721 0.889 S
0.622 0.937 0.685 S
0.831 0.721 0.111 S
0.906 0.546 0.360 S
```

As for the magnetic moment: 0.36 μB per atom. Its volume is 20.884 Å³/atom. The value obtained for the formation energy without anion corrections is -1.65 eV/atom. The energy above the most stable polymorph in this dataset is 0 meV/atom.

=====

Entry 5:
VASP calculation (PBE) on a relaxed structure of Er2U2S7.

The structure in POSCAR format:
```
Er2U2S7
1.0
0.000 6.426 6.426
6.426 0.000 6.426
6.426 6.426 0.000
Er U S
4 4 14
Direct
0.000 0.000 0.000 Er
0.000 0.000 0.500 Er
0.000 0.500 0.000 Er
0.500 0.000 0.000 Er
0.000 0.500 0.500 U
0.500 0.000 0.500 U
0.500 0.500 0.000 U
0.500 0.500 0.500 U
0.113 0.113 0.637 S
0.113 0.637 0.113 S
0.113 0.637 0.637 S
0.363 0.363 0.887 S
0.363 0.887 0.363 S
0.363 0.887 0.887 S
0.375 0.375 0.375 S
0.625 0.625 0.625 S
0.637 0.113 0.113 S
0.637 0.113 0.637 S
0.637 0.637 0.113 S
0.887 0.363 0.363 S
0.887 0.363 0.887 S
0.887 0.887 0.363 S
```

As for the magnetic moment: 0.36 μB per atom. Its volume is 24.117 Å³/atom. The value obtained for the formation energy without anion corrections is -1.54 eV/atom. The energy above the most stable polymorph in this dataset is 111 meV/atom.

=====

Entry 6:
VASP calculation (PBE) on a relaxed structure of Er2US5.

The structure in POSCAR format:
```
Er2US5
1.0
2.644 -6.500 0.000
2.644 6.500 0.000
0.000 0.000 13.101
Er U S
4 2 10
Direct
0.146 0.854 0.557 Er
0.146 0.854 0.943 Er
0.854 0.146 0.057 Er
0.854 0.146 0.443 Er
0.200 0.800 0.250 U
0.800 0.200 0.750 U
0.047 0.953 0.120 S
0.047 0.953 0.380 S
0.244 0.756 0.750 S
0.315 0.685 0.073 S
0.315 0.685 0.427 S
0.685 0.315 0.573 S
0.685 0.315 0.927 S
0.756 0.244 0.250 S
0.953 0.047 0.620 S
0.953 0.047 0.880 S
```

As for the magnetic moment: 0.25 μB per atom. Its volume is 28.150 Å³/atom. The value obtained for the formation energy without anion corrections is -1.76 eV/atom.

=====

Entry 7:
VASP calculation (PBE) on a relaxed structure of ErWS2.

The structure in POSCAR format:
```
ErWS2
1.0
1.667 0.963 8.523
-1.667 0.963 8.523
0.000 -1.925 8.523
Er W S
1 1 2
Direct
0.000 0.000 0.000 Er
0.500 0.500 0.500 W
0.106 0.106 0.106 S
0.894 0.894 0.894 S
```

As for the magnetic moment: 0.00 μB per atom. Its volume is 20.519 Å³/atom. The value obtained for the formation energy without anion corrections is -0.41 eV/atom.

=====

Entry 8:
VASP calculation (PBE) on a relaxed structure of ErW4S8.

The structure in POSCAR format:
```
ErW4S8
1.0
3.293 1.901 6.738
-3.293 1.901 6.738
0.000 -3.802 6.738
Er W S
1 4 8
Direct
0.000 0.000 0.000 Er
0.000 0.000 0.500 W
0.000 0.500 0.000 W
0.500 0.000 0.000 W
0.500 0.500 0.500 W
0.243 0.243 0.243 S
0.252 0.740 0.740 S
0.260 0.260 0.748 S
0.260 0.748 0.260 S
0.740 0.252 0.740 S
0.740 0.740 0.252 S
0.748 0.260 0.260 S
0.757 0.757 0.757 S
```

As for the magnetic moment: 0.00 μB per atom. Its volume is 19.465 Å³/atom. The value obtained for the formation energy without anion corrections is -0.63 eV/atom.

=====

Entry 9:
VASP calculation (PBE) on a relaxed structure of ErWS.

The structure in POSCAR format:
```
ErWS
1.0
3.607 0.000 0.000
0.000 3.607 0.000
0.000 0.000 8.780
Er W S
2 2 2
Direct
0.250 0.250 0.204 Er
0.750 0.750 0.796 Er
0.250 0.250 0.568 W
0.750 0.750 0.432 W
0.250 0.250 0.860 S
0.750 0.750 0.140 S
```

As for the magnetic moment: 0.00 μB per atom. Its volume is 19.042 Å³/atom. The value obtained for the formation energy without anion corrections is -0.91 eV/atom.

=====

Entry 10:
VASP calculation (PBE) on a relaxed structure of YEr3S6.

The structure in POSCAR format:
```
YEr3S6
1.0
5.697 3.289 4.528
-5.697 3.289 4.528
0.000 -6.578 4.528
Y Er S
2 6 12
Direct
0.000 0.000 0.000 Y
0.500 0.500 0.500 Y
0.067 0.576 0.747 Er
0.253 0.933 0.424 Er
0.424 0.253 0.933 Er
0.576 0.747 0.067 Er
0.747 0.067 0.576 Er
0.933 0.424 0.253 Er
0.035 0.904 0.679 S
0.096 0.321 0.965 S
0.183 0.593 0.418 S
0.321 0.965 0.096 S
0.407 0.582 0.817 S
0.418 0.183 0.593 S
0.582 0.817 0.407 S
0.593 0.418 0.183 S
0.679 0.035 0.904 S
0.817 0.407 0.582 S
0.904 0.679 0.035 S
0.965 0.096 0.321 S
```

As for the magnetic moment: 0.00 μB per atom. Its volume is 25.451 Å³/atom. The value obtained for the formation energy without anion corrections is -2.05 eV/atom. The energy above the most stable polymorph in this dataset is 20 meV/atom.

=====

Entry 11:
VASP calculation (PBE) on a relaxed structure of YEr4S4.

The structure in POSCAR format:
```
YEr4S4
1.0
6.393 -1.922 0.000
6.393 1.922 0.000
-4.648 0.000 8.140
Y Er S
1 4 4
Direct
0.000 0.000 0.000 Y
0.202 0.202 0.795 Er
0.403 0.403 0.601 Er
0.597 0.597 0.399 Er
0.798 0.798 0.205 Er
0.199 0.199 0.306 S
0.395 0.395 0.099 S
0.605 0.605 0.901 S
0.801 0.801 0.694 S
```

As for the magnetic moment: 0.00 μB per atom. Its volume is 22.231 Å³/atom. The value obtained for the formation energy without anion corrections is -1.74 eV/atom.

=====

Entry 12:
VASP calculation (PBE) on a relaxed structure of YErS2.

The structure in POSCAR format:
```
YErS2
1.0
1.902 1.098 6.756
-1.902 1.098 6.756
0.000 -2.196 6.756
Y Er S
1 1 2
Direct
0.000 0.000 0.000 Y
0.822 0.822 0.822 Er
0.410 0.410 0.410 S
0.577 0.577 0.577 S
```

As for the magnetic moment: 0.00 μB per atom. Its volume is 21.165 Å³/atom. The value obtained for the formation energy without anion corrections is -1.94 eV/atom. The energy above the most stable polymorph in this dataset is 35 meV/atom.

=====

Which of these has the highest formation energy without anion corrections?
ErWS2